Below is crystalline TlVPO2 at its relaxed geometry, with properties calculated at the PBE with a Hubbard U level.

a b c (Å): 4.105 4.105 5.520
angles (deg): 90.00 90.00 90.00
Each line ends with the local moment (μB).
Fractional positions:
1 P 0.000 0.000 0.500  -0.26
2 Tl 0.000 0.000 0.000  -0.01
3 O 0.000 0.500 0.000  -0.13
4 O 0.500 0.000 0.000  -0.13
5 V 0.500 0.500 0.500  2.73

Results
E above lowest polymorph: 1360 meV/atom
Fermi-level density of states: 4.3 states/eV per cell